The following is a DFT calculation (PBE-GGA) of a relaxed structure of CoMo2As.

Results
The value obtained for the formation energy is 0.112 eV/atom.

Cell: 2.946 2.946 6.558 Å, 90.00 90.00 90.00°
Space group P4/mmm (No. 123)
One atom of each set of equivalent atoms:
Co 0.000 0.000 0.000 x1
Mo 0.500 0.500 0.252 x2
As 0.000 0.000 0.500 x1